[1]
{"formula": "K2NdUTe4", "functional": "GGA-PBE", "state": "relaxed", "e_tot_ev_per_atom": -4.975, "e_form_raw_ev_per_atom": -1.123, "space_group": "P2/m (10)", "magnetic_moment_mub_per_fu": 3.0, "cell": [[7.909, 0.000, 0.000], [0.000, 4.574, 0.000], [-2.644, 0.000, 8.273]], "species": ["K", "K", "Nd", "U", "Te", "Te", "Te", "Te"], "frac_coords": [[0.000, 0.000, 0.000], [0.500, 0.500, 0.000], [0.000, 0.500, 0.500], [0.500, 0.000, 0.500], [0.242, 0.000, 0.715], [0.267, 0.500, 0.288], [0.733, 0.500, 0.712], [0.758, 0.000, 0.285]]}

[2]
{"formula": "KGa2F6", "functional": "GGA-PBE", "state": "relaxed", "e_tot_ev_per_atom": -4.514, "e_form_raw_ev_per_atom": -2.472, "space_group": "R3 (146)", "magnetic_moment_mub_per_fu": 0.0, "cell": [[2.754, 1.590, 6.041], [-2.754, 1.590, 6.041], [0.000, -3.180, 6.041]], "species": ["K", "Ga", "Ga", "F", "F", "F", "F", "F", "F"], "frac_coords": [[0.000, 0.000, 0.000], [0.188, 0.188, 0.188], [0.511, 0.511, 0.511], [0.190, 0.396, 0.773], [0.300, 0.875, 0.551], [0.396, 0.773, 0.190], [0.551, 0.300, 0.875], [0.773, 0.190, 0.396], [0.875, 0.551, 0.300]]}

[3]
{"formula": "Cu4NiRh2", "functional": "GGA-PBE", "state": "relaxed", "e_tot_ev_per_atom": -5.140, "space_group": "Fdd2 (43)", "ef_ev_per_atom": 0.13, "magnetic_moment_mub_per_fu": 0.0, "cell": [[0.000, 8.269, 2.943], [3.693, 0.000, 2.943], [3.693, 8.269, 0.000]], "species": ["Cu", "Cu", "Cu", "Cu", "Cu", "Cu", "Cu", "Cu", "Ni", "Ni", "Rh", "Rh", "Rh", "Rh"], "frac_coords": [[0.080, 0.920, 0.080], [0.170, 0.330, 0.170], [0.226, 0.597, 0.523], [0.330, 0.170, 0.330], [0.597, 0.226, 0.653], [0.597, 0.727, 0.653], [0.727, 0.597, 0.024], [0.920, 0.080, 0.920], [0.649, 0.649, 0.351], [0.899, 0.899, 0.601], [0.130, 0.497, 0.898], [0.352, 0.776, 0.120], [0.497, 0.130, 0.474], [0.776, 0.352, 0.753]]}

[4]
{"formula": "TbTaMn4", "functional": "GGA-PBE", "state": "relaxed", "e_tot_ev_per_atom": -8.798, "space_group": "F-43m (216)", "ef_ev_per_atom": 0.06, "magnetic_moment_mub_per_fu": 3.1, "cell": [[0.000, 3.518, 3.518], [3.518, 0.000, 3.518], [3.518, 3.518, 0.000]], "species": ["Tb", "Ta", "Mn", "Mn", "Mn", "Mn"], "frac_coords": [[0.000, 0.000, 0.000], [0.250, 0.250, 0.250], [0.127, 0.624, 0.624], [0.624, 0.127, 0.624], [0.624, 0.624, 0.127], [0.624, 0.624, 0.624]]}